1.
# La2TaNi (GGA-PBE, relaxed)
data_La2TaNi
_space_group_name_H-M_alt 'P 1'
_space_group_IT_number 1
_space_group_name_Hall 'P 1'
_cell_length_a 5.1682
_cell_length_b 5.1682
_cell_length_c 5.1682
_cell_angle_alpha 60.00
_cell_angle_beta 60.00
_cell_angle_gamma 60.00
loop_
_atom_site_label
_atom_site_fract_x
_atom_site_fract_y
_atom_site_fract_z
La1 0.2500 0.2500 0.2500
La2 0.7500 0.7500 0.7500
Ta1 0.0000 0.0000 0.0000
Ni1 0.5000 0.5000 0.5000
# Total moment in μB/cell: 1.97
# Formation enthalpy at 0 K in eV/f.u.: 1.8
# Electronic total energy in eV per atom: -6.422
# Excess energy over the best structure of this formula in the dataset in eV per atom: 0.3816

=====

2.
# BeHg2Os (GGA-PBE, relaxed)
data_BeHg2Os
_space_group_name_H-M_alt 'P 1'
_space_group_IT_number 1
_space_group_name_Hall 'P 1'
_cell_length_a 8.8367
_cell_length_b 8.8367
_cell_length_c 8.8367
_cell_angle_alpha 19.27
_cell_angle_beta 19.27
_cell_angle_gamma 19.27
loop_
_atom_site_label
_atom_site_fract_x
_atom_site_fract_y
_atom_site_fract_z
Be1 0.0000 0.0000 0.0000
Hg1 0.2584 0.2584 0.2584
Hg2 0.7416 0.7416 0.7416
Os1 0.5000 0.5000 0.5000
# Total moment in μB/cell: 0.00
# Formation enthalpy at 0 K in eV/f.u.: 3.1
# Electronic total energy in eV per atom: -3.119

=====

Question: electronic total energy of number 1 (La2TaNi)?
Answer: -6.422 eV per atom